1.
## CsTlCd2Bi2 (PBE)

Data for a relaxed CsTlCd2Bi2 crystal.

Results
The value obtained for the energy is -2.3166 eV per atom.

```
data_CsTlCd2Bi2
_cell_length_a 5.215
_cell_length_b 5.215
_cell_length_c 9.383
_cell_angle_alpha 90.00
_cell_angle_beta 90.00
_cell_angle_gamma 120.00
_space_group_name_H-M_alt 'P 1'
_space_group_IT_number 1
_space_group_name_Hall 'P 1'
loop_
_atom_site_label
_atom_site_type_symbol
_atom_site_fract_x
_atom_site_fract_y
_atom_site_fract_z
_atom_site_occupancy
Cs1 Cs 0.000 0.000 0.000 1
Tl1 Tl 0.000 0.000 0.500 1
Cd1 Cd 0.333 0.667 0.644 1
Cd2 Cd 0.667 0.333 0.356 1
Bi1 Bi 0.333 0.667 0.283 1
Bi2 Bi 0.667 0.333 0.717 1
```

***

2.
## CsTl2Cd2Bi2 (PBE)

Data for a relaxed CsTl2Cd2Bi2 crystal.

Results
The value obtained for the energy is -2.2645 eV per atom.

```
data_CsTl2Cd2Bi2
_cell_length_a 10.488
_cell_length_b 10.488
_cell_length_c 10.488
_cell_angle_alpha 30.86
_cell_angle_beta 30.86
_cell_angle_gamma 30.86
_space_group_name_H-M_alt 'P 1'
_space_group_IT_number 1
_space_group_name_Hall 'P 1'
loop_
_atom_site_label
_atom_site_type_symbol
_atom_site_fract_x
_atom_site_fract_y
_atom_site_fract_z
_atom_site_occupancy
Cs1 Cs 0.000 0.000 0.000 1
Tl1 Tl 0.131 0.131 0.131 1
Tl2 Tl 0.869 0.869 0.869 1
Cd1 Cd 0.429 0.429 0.429 1
Cd2 Cd 0.571 0.571 0.571 1
Bi1 Bi 0.240 0.240 0.240 1
Bi2 Bi 0.760 0.760 0.760 1
```

***

3.
## Cs2TlCd4Bi3 (PBE)

Data for a relaxed Cs2TlCd4Bi3 crystal.

Results
The value obtained for the energy is -2.1417 eV per atom.

```
data_Cs2TlCd4Bi3
_cell_length_a 5.294
_cell_length_b 5.294
_cell_length_c 12.654
_cell_angle_alpha 90.00
_cell_angle_beta 90.00
_cell_angle_gamma 90.00
_space_group_name_H-M_alt 'P 1'
_space_group_IT_number 1
_space_group_name_Hall 'P 1'
loop_
_atom_site_label
_atom_site_type_symbol
_atom_site_fract_x
_atom_site_fract_y
_atom_site_fract_z
_atom_site_occupancy
Cs1 Cs 0.000 0.500 0.241 1
Cs2 Cs 0.500 0.000 0.759 1
Tl1 Tl 0.000 0.000 0.500 1
Cd1 Cd 0.000 0.000 0.000 1
Cd2 Cd 0.000 0.500 0.633 1
Cd3 Cd 0.500 0.000 0.367 1
Cd4 Cd 0.500 0.500 0.000 1
Bi1 Bi 0.000 0.500 0.874 1
Bi2 Bi 0.500 0.000 0.126 1
Bi3 Bi 0.500 0.500 0.500 1
```

***

4.
## CsTlCdBi2 (PBE)

Data for a relaxed CsTlCdBi2 crystal.

Results
The value obtained for the energy is -2.5700 eV per atom.

```
data_CsTlCdBi2
_cell_length_a 5.377
_cell_length_b 5.377
_cell_length_c 13.276
_cell_angle_alpha 90.00
_cell_angle_beta 90.00
_cell_angle_gamma 90.00
_space_group_name_H-M_alt 'P 1'
_space_group_IT_number 1
_space_group_name_Hall 'P 1'
loop_
_atom_site_label
_atom_site_type_symbol
_atom_site_fract_x
_atom_site_fract_y
_atom_site_fract_z
_atom_site_occupancy
Cs1 Cs 0.000 0.000 0.000 1
Cs2 Cs 0.500 0.500 0.500 1
Tl1 Tl 0.000 0.500 0.750 1
Tl2 Tl 0.500 0.000 0.250 1
Cd1 Cd 0.000 0.500 0.250 1
Cd2 Cd 0.500 0.000 0.750 1
Bi1 Bi 0.000 0.000 0.376 1
Bi2 Bi 0.000 0.000 0.624 1
Bi3 Bi 0.500 0.500 0.124 1
Bi4 Bi 0.500 0.500 0.876 1
```

***

5.
## CsTlCdBi (PBE)

Data for a relaxed CsTlCdBi crystal.

Results
The calculation puts the energy above the most stable polymorph in this dataset at 0 kJ/mol of formula units.

```
data_CsTlCdBi
_cell_length_a 4.695
_cell_length_b 4.695
_cell_length_c 15.463
_cell_angle_alpha 90.00
_cell_angle_beta 90.00
_cell_angle_gamma 90.00
_space_group_name_H-M_alt 'P 1'
_space_group_IT_number 1
_space_group_name_Hall 'P 1'
loop_
_atom_site_label
_atom_site_type_symbol
_atom_site_fract_x
_atom_site_fract_y
_atom_site_fract_z
_atom_site_occupancy
Cs1 Cs 0.250 0.250 0.245 1
Cs2 Cs 0.750 0.750 0.755 1
Tl1 Tl 0.250 0.750 0.000 1
Tl2 Tl 0.750 0.250 0.000 1
Cd1 Cd 0.250 0.750 0.500 1
Cd2 Cd 0.750 0.250 0.500 1
Bi1 Bi 0.250 0.250 0.624 1
Bi2 Bi 0.750 0.750 0.376 1
```

***

6.
## CsTl2CdBi (PBE)

Data for a relaxed CsTl2CdBi crystal.

Results
The calculation puts the energy above the most stable polymorph in this dataset at 0 kJ/mol of formula units.

```
data_CsTl2CdBi
_cell_length_a 5.332
_cell_length_b 5.639
_cell_length_c 12.592
_cell_angle_alpha 90.00
_cell_angle_beta 90.00
_cell_angle_gamma 90.00
_space_group_name_H-M_alt 'P 1'
_space_group_IT_number 1
_space_group_name_Hall 'P 1'
loop_
_atom_site_label
_atom_site_type_symbol
_atom_site_fract_x
_atom_site_fract_y
_atom_site_fract_z
_atom_site_occupancy
Cs1 Cs 0.000 0.000 0.000 1
Cs2 Cs 0.500 0.500 0.500 1
Tl1 Tl 0.000 0.000 0.372 1
Tl2 Tl 0.000 0.500 0.261 1
Tl3 Tl 0.500 0.000 0.761 1
Tl4 Tl 0.500 0.500 0.872 1
Cd1 Cd 0.000 0.500 0.753 1
Cd2 Cd 0.500 0.000 0.253 1
Bi1 Bi 0.000 0.000 0.620 1
Bi2 Bi 0.500 0.500 0.120 1
```